Record 1
# Ta2AsPdF

A relaxed Ta2AsPdF crystal (PBE, Alexandria via LeMat-Bulk).

a b c (Å): 4.9573 4.9573 3.9442
angles (deg): 90.00 90.00 90.00
Closest atoms and distances in Å follow each position.
Space group P4/mmm (No. 123)
Unique sites:
Ta 0.0000 0.5000 0.0000  2 Pd 2.48
As 0.0000 0.0000 0.5000  8 Ta 3.17, 4 F 3.51
Pd 0.5000 0.5000 0.0000  2 F 1.97
F 0.5000 0.5000 0.5000  2 Pd 1.97

Computed properties:
E: -31.69 eV per formula unit
formation energy (no corrections): 745 meV per atom
calculated density: 9.63 g/cm3

Record 2
# Na17ZnIn11

A relaxed Na17ZnIn11 crystal (PBE, Alexandria via LeMat-Bulk).

a b c (Å): 11.7055 16.6898 10.1481
angles (deg): 90.00 125.04 90.00
Closest atoms and distances in Å follow each position.
Space group Cm (No. 8)
Unique sites:
Na 0.0000 0.0000 0.0000  4 Na 3.28-3.51, 6 In 3.49-3.50
Na 0.0010 0.0000 0.6548  1 Zn 3.34, 4 Na 3.51-3.58, 11 In 3.58-3.60
Na 0.0672 0.3446 0.0625  5 In 3.30-3.55, 7 Na 3.32-3.58
Na 0.1535 0.5000 0.3063  4 Na 3.32-3.54, 6 In 3.47-3.55
Na 0.1597 0.1545 0.2464  4 In 3.26-3.48, 7 Na 3.32-3.59, 1 Zn 3.47
Na 0.1774 0.1750 0.6550  4 Na 3.28-3.58, 1 Zn 3.38, 5 In 3.45-3.48
Na 0.1912 0.5000 0.9343  7 Na 3.28-3.58, 5 In 3.29-3.45
Na 0.2983 0.2958 0.9674  7 Na 3.31-3.59, 5 In 3.31-3.47
Na 0.4059 0.0000 0.3768  7 Na 3.36-3.60, 4 In 3.39-3.47, 1 Zn 3.45
Na 0.4523 0.1393 0.6538  4 In 3.28-3.39, 7 Na 3.28-3.59, 1 Zn 3.53
Na 0.4873 0.2036 0.3415  5 In 3.30-3.50, 7 Na 3.32-3.60
Zn 0.1763 0.0000 0.4860  3 In 2.84-2.90
In 0.0005 0.1849 0.8372  3 In 3.08, 3 Na 3.30-3.34
In 0.2232 0.4084 0.6520  3 In 3.06-3.12, 3 Na 3.28-3.37
In 0.2782 0.0923 0.0205  3 In 3.08-3.11, 3 Na 3.30-3.39
In 0.3211 0.3151 0.4671  3 In 3.07-3.12, 4 Na 3.30-3.42
In 0.3673 0.0000 0.8269  1 Zn 2.84, 2 In 3.11
In 0.4198 0.4093 0.2899  1 Zn 2.90, 2 In 3.03-3.07

Computed properties:
E: -56.81 eV per formula unit
calculated formation energy: -0.1031 eV per atom
calculated density: 3.52 g/cm3

Record 3
# Tm3IrRh2

A relaxed Tm3IrRh2 crystal (PBE, Alexandria via LeMat-Bulk).

a b c (Å): 3.3840 3.3840 10.1108
angles (deg): 90.00 90.00 90.00
Closest atoms and distances in Å follow each position.
Space group P4/mmm (No. 123)
Unique sites:
Tm 0.0000 0.0000 0.0000  8 Rh 2.92
Tm 0.0000 0.0000 0.3345  4 Ir 2.92, 4 Rh 2.94
Ir 0.5000 0.5000 0.5000  8 Tm 2.92
Rh 0.5000 0.5000 0.1652  8 Tm 2.92-2.94

Computed properties:
E: -42.71 eV per formula unit
calculated formation energy: -0.9547 eV per atom
calculated density: 12.98 g/cm3
energy above the lowest structure with this stoichiometry: 14 meV/atom

Record 4
# Rb3Np2ScS6

A relaxed Rb3Np2ScS6 crystal (PBE, Alexandria via LeMat-Bulk).

a b c (Å): 6.9982 12.1204 8.0091
angles (deg): 90.00 106.94 90.00
Closest atoms and distances in Å follow each position.
Space group C2/m (No. 12)
Unique sites:
Rb 0.0000 0.0000 0.0000  6 S 3.31-3.39
Rb 0.0000 0.3328 0.0000  6 S 3.31-3.39
Np 0.0000 0.1666 0.5000  6 S 2.78
Sc 0.0000 0.5000 0.5000  6 S 2.67-2.68
S 0.2237 0.3390 0.6883  1 Sc 2.67, 2 Np 2.78
S 0.2410 0.0000 0.6886  1 Sc 2.68, 2 Np 2.78

Computed properties:
E: -77.46 eV per formula unit
formation energy (no corrections): -1465 meV per atom
calculated density: 4.95 g/cm3

Record 5
# Al2FeW

A relaxed Al2FeW crystal (PBE, Alexandria via LeMat-Bulk).

a b c (Å): 3.7479 3.7479 8.0894
angles (deg): 90.00 90.00 90.00
Closest atoms and distances in Å follow each position.
Space group I-4m2 (No. 119)
Unique sites:
Al 0.0000 0.0000 0.0000  4 W 2.65, 4 Fe 2.76, 4 Al 2.76
Al 0.0000 0.5000 0.2500  4 Fe 2.65, 4 W 2.76, 4 Al 2.76
Fe 0.0000 0.5000 0.7500  8 Al 2.65-2.76, 4 W 2.76
W 0.0000 0.0000 0.5000  8 Al 2.65-2.76, 4 Fe 2.76

Computed properties:
E: -28.97 eV per formula unit
calculated formation energy: -0.0181 eV per atom
calculated density: 8.58 g/cm3
energy above the lowest structure with this stoichiometry: 123 meV/atom

Which of these has the highest calculated density?
Tm3IrRh2